A geometry-optimized RbZrSeS structure. Source: Alexandria, functional GGA-PBE.

a = 3.8429 Å, b = 3.8429 Å, c = 8.3399 Å
α = 103.27°, β = 103.27°, γ = 59.97°
Last column: nearest neighbours and their distance in Å.
Fractional coordinates of all 4 atoms:
1 Rb 0.0000 0.0000 0.0000  3 S 3.21, 3 Se 3.42-3.43
2 Zr 0.1764 0.1764 0.5290  3 S 2.65-2.66, 3 Se 2.76
3 Se 0.7746 0.7746 0.3245  3 Zr 2.76
4 S 0.5708 0.5708 0.7107  3 Zr 2.65-2.66

Properties
* ΔE_f (raw): -1368 meV per atom

A geometry-optimized Rb2SiS structure. Source: Alexandria, functional GGA-PBE.

a = 9.3255 Å, b = 9.3255 Å, c = 9.3255 Å
α = 93.65°, β = 93.65°, γ = 150.78°
Last column: nearest neighbours and their distance in Å.
Fractional coordinates of all 8 atoms:
1 Rb 0.3750 0.1643 0.2893  2 S 3.28
2 Rb 0.8357 0.1250 0.2107  2 S 3.28
3 Rb 0.8750 0.0857 0.7107  2 S 3.28
4 Rb 0.9143 0.6250 0.7893  2 S 3.28
5 Si 0.2500 0.7500 0.5000  2 S 2.35
6 Si 0.5000 0.5000 0.0000  2 S 2.35
7 S 0.0000 0.0000 0.0000  2 Si 2.35
8 S 0.7500 0.2500 0.5000  2 Si 2.35

Properties
* ΔE_f (raw): -95 meV per atom